1.
An optimized crystal structure of SmTiI, computed with GGA-PBE.

a = 5.891 Å, b = 5.891 Å, c = 7.941 Å
α = 92.27°, β = 92.27°, γ = 36.11°
Fractional positions:
Sm 0.063 0.063 0.219
Sm 0.937 0.937 0.781
Ti 0.369 0.369 0.472
Ti 0.631 0.631 0.528
I 0.210 0.210 0.795
I 0.790 0.790 0.205

volume = 27.05 Å³ per atom
total magnetic moment = 0.00 μB/f.u.
ΔE_f (raw) = -0.17 eV per atom

=====

2.
An optimized crystal structure of Sm2TiI, computed with GGA-PBE.

a = 11.338 Å, b = 11.338 Å, c = 11.338 Å
α = 17.91°, β = 17.91°, γ = 17.91°
Fractional positions:
Sm 0.090 0.090 0.090
Sm 0.910 0.910 0.910
Ti 0.000 0.000 0.000
I 0.500 0.500 0.500

volume = 30.08 Å³ per atom
total magnetic moment = 1.97 μB/f.u.
ΔE_f (raw) = 0.20 eV per atom

=====

3.
An optimized crystal structure of Sm4Tl2I5, computed with GGA-PBE.

a = 12.953 Å, b = 12.953 Å, c = 12.953 Å
α = 162.19°, β = 139.36°, γ = 44.69°
Fractional positions:
Sm 0.096 0.096 0.000
Sm 0.208 0.500 0.708
Sm 0.792 0.500 0.292
Sm 0.904 0.904 0.000
Tl 0.257 0.257 0.000
Tl 0.743 0.743 0.000
I 0.117 0.366 0.751
I 0.386 0.634 0.751
I 0.500 0.000 0.500
I 0.614 0.366 0.249
I 0.883 0.634 0.249

volume = 39.29 Å³ per atom
total magnetic moment = 0.00 μB/f.u.
ΔE_f (raw) = -0.69 eV per atom

=====

4.
An optimized crystal structure of SmTl3I6, computed with GGA-PBE.

a = 8.256 Å, b = 9.195 Å, c = 14.098 Å
α = 90.00°, β = 121.43°, γ = 90.00°
Fractional positions:
Sm 0.000 0.000 0.000
Sm 0.000 0.500 0.500
Tl 0.311 0.095 0.774
Tl 0.311 0.405 0.274
Tl 0.500 0.000 0.500
Tl 0.500 0.500 0.000
Tl 0.689 0.595 0.726
Tl 0.689 0.905 0.226
I 0.088 0.061 0.238
I 0.088 0.439 0.738
I 0.238 0.715 0.082
I 0.238 0.785 0.582
I 0.361 0.169 0.051
I 0.361 0.331 0.551
I 0.639 0.669 0.449
I 0.639 0.831 0.949
I 0.762 0.215 0.418
I 0.762 0.285 0.918
I 0.912 0.561 0.262
I 0.912 0.939 0.762

volume = 45.66 Å³ per atom
total magnetic moment = 0.00 μB/f.u.
ΔE_f (raw) = -0.96 eV per atom

=====

5.
An optimized crystal structure of Sm3TlI3, computed with GGA-PBE.

a = 10.950 Å, b = 10.950 Å, c = 10.950 Å
α = 109.47°, β = 109.47°, γ = 109.47°
Fractional positions:
Sm 0.010 0.019 0.260
Sm 0.010 0.490 0.750
Sm 0.019 0.260 0.010
Sm 0.240 0.260 0.750
Sm 0.240 0.481 0.490
Sm 0.260 0.010 0.019
Sm 0.260 0.750 0.240
Sm 0.481 0.490 0.240
Sm 0.490 0.240 0.481
Sm 0.490 0.750 0.010
Sm 0.750 0.010 0.490
Sm 0.750 0.240 0.260
Tl 0.000 0.250 0.500
Tl 0.250 0.250 0.250
Tl 0.250 0.500 0.000
Tl 0.500 0.000 0.250
I 0.250 0.756 0.744
I 0.250 0.994 0.506
I 0.506 0.250 0.994
I 0.506 0.756 0.512
I 0.512 0.506 0.756
I 0.744 0.250 0.756
I 0.744 0.994 0.988
I 0.756 0.512 0.506
I 0.756 0.744 0.250
I 0.988 0.744 0.994
I 0.994 0.506 0.250
I 0.994 0.988 0.744

volume = 36.10 Å³ per atom
total magnetic moment = 0.00 μB/f.u.
ΔE_f (raw) = -0.94 eV per atom

=====

6.
An optimized crystal structure of SmTlI4, computed with GGA-PBE.

a = 9.171 Å, b = 9.171 Å, c = 7.615 Å
α = 107.56°, β = 107.56°, γ = 110.57°
Fractional positions:
Sm 0.000 0.000 0.250
Sm 0.000 0.000 0.750
Tl 0.370 0.630 0.750
Tl 0.630 0.370 0.250
I 0.055 0.729 0.423
I 0.215 0.344 0.204
I 0.271 0.945 0.077
I 0.344 0.215 0.704
I 0.656 0.785 0.296
I 0.729 0.055 0.923
I 0.785 0.656 0.796
I 0.945 0.271 0.577

volume = 42.38 Å³ per atom
energy relative to the lowest polymorph listed for this composition = 55 meV per atom
total magnetic moment = 0.00 μB/f.u.
ΔE_f (raw) = -1.10 eV per atom

=====

7.
An optimized crystal structure of SmTl4I7, computed with GGA-PBE.

a = 11.957 Å, b = 11.957 Å, c = 8.489 Å
α = 106.73°, β = 106.73°, γ = 29.01°
Fractional positions:
Sm 0.000 0.000 0.000
Tl 0.309 0.309 0.734
Tl 0.416 0.416 0.355
Tl 0.584 0.584 0.645
Tl 0.691 0.691 0.266
I 0.080 0.080 0.363
I 0.116 0.116 0.891
I 0.274 0.274 0.324
I 0.500 0.500 0.000
I 0.726 0.726 0.676
I 0.884 0.884 0.109
I 0.920 0.920 0.637

volume = 46.82 Å³ per atom
total magnetic moment = 0.00 μB/f.u.
ΔE_f (raw) = -0.86 eV per atom

=====

8.
An optimized crystal structure of Sm2TlI2, computed with GGA-PBE.

a = 12.449 Å, b = 12.449 Å, c = 12.449 Å
α = 19.65°, β = 19.65°, γ = 19.65°
Fractional positions:
Sm 0.112 0.112 0.112
Sm 0.888 0.888 0.888
Tl 0.500 0.500 0.500
I 0.277 0.277 0.277
I 0.723 0.723 0.723

volume = 38.17 Å³ per atom
total magnetic moment = 0.00 μB/f.u.
ΔE_f (raw) = -0.93 eV per atom

=====

9.
An optimized crystal structure of Sm2TlI6, computed with GGA-PBE.

a = 8.550 Å, b = 8.550 Å, c = 8.550 Å
α = 57.87°, β = 57.87°, γ = 57.87°
Fractional positions:
Sm 0.000 0.000 0.000
Sm 0.170 0.170 0.170
Tl 0.670 0.670 0.670
I 0.117 0.763 0.374
I 0.219 0.591 0.931
I 0.374 0.117 0.763
I 0.591 0.931 0.219
I 0.763 0.374 0.117
I 0.931 0.219 0.591

volume = 46.72 Å³ per atom
total magnetic moment = 0.99 μB/f.u.
ΔE_f (raw) = -1.17 eV per atom

=====

10.
An optimized crystal structure of Sm6Tl3I, computed with GGA-PBE.

a = 9.280 Å, b = 9.280 Å, c = 7.704 Å
α = 90.00°, β = 90.00°, γ = 100.01°
Fractional positions:
Sm 0.009 0.991 0.500
Sm 0.127 0.527 0.978
Sm 0.234 0.330 0.363
Sm 0.299 0.701 0.421
Sm 0.330 0.234 0.863
Sm 0.473 0.873 0.978
Sm 0.527 0.127 0.478
Sm 0.670 0.766 0.363
Sm 0.701 0.299 0.921
Sm 0.766 0.670 0.863
Sm 0.873 0.473 0.478
Sm 0.991 0.009 0.000
Tl 0.014 0.274 0.726
Tl 0.274 0.014 0.226
Tl 0.477 0.523 0.103
Tl 0.523 0.477 0.603
Tl 0.726 0.986 0.726
Tl 0.986 0.726 0.226
I 0.177 0.823 0.763
I 0.823 0.177 0.263

volume = 32.66 Å³ per atom
total magnetic moment = 0.00 μB/f.u.
ΔE_f (raw) = -0.24 eV per atom

=====

11.
An optimized crystal structure of Sm4TlI5, computed with GGA-PBE.

a = 9.925 Å, b = 9.925 Å, c = 9.101 Å
α = 101.20°, β = 101.20°, γ = 25.57°
Fractional positions:
Sm 0.002 0.002 0.230
Sm 0.342 0.342 0.929
Sm 0.658 0.658 0.071
Sm 0.998 0.998 0.770
Tl 0.500 0.500 0.000
I 0.168 0.168 0.328
I 0.170 0.170 0.819
I 0.500 0.500 0.500
I 0.830 0.830 0.181
I 0.832 0.832 0.672

volume = 37.91 Å³ per atom
total magnetic moment = 0.00 μB/f.u.
ΔE_f (raw) = -1.03 eV per atom

=====

12.
An optimized crystal structure of Sm6TlI8, computed with GGA-PBE.

a = 12.370 Å, b = 12.370 Å, c = 12.370 Å
α = 35.97°, β = 35.97°, γ = 35.97°
Fractional positions:
Sm 0.051 0.376 0.725
Sm 0.275 0.949 0.624
Sm 0.376 0.725 0.051
Sm 0.624 0.275 0.949
Sm 0.725 0.051 0.376
Sm 0.949 0.624 0.275
Tl 0.000 0.000 0.000
I 0.107 0.773 0.442
I 0.227 0.558 0.893
I 0.333 0.333 0.333
I 0.442 0.107 0.773
I 0.558 0.893 0.227
I 0.667 0.667 0.667
I 0.773 0.442 0.107
I 0.893 0.227 0.558

volume = 38.93 Å³ per atom
total magnetic moment = 0.00 μB/f.u.
ΔE_f (raw) = -1.02 eV per atom

=====

13.
An optimized crystal structure of Sm7TlI12, computed with GGA-PBE.

a = 9.966 Å, b = 9.966 Å, c = 9.966 Å
α = 108.21°, β = 108.21°, γ = 108.21°
Fractional positions:
Sm 0.000 0.000 0.000
Sm 0.165 0.384 0.454
Sm 0.384 0.454 0.165
Sm 0.454 0.165 0.384
Sm 0.546 0.835 0.616
Sm 0.616 0.546 0.835
Sm 0.835 0.616 0.546
Tl 0.500 0.500 0.500
I 0.025 0.344 0.104
I 0.104 0.025 0.344
I 0.192 0.730 0.578
I 0.270 0.422 0.808
I 0.344 0.104 0.025
I 0.422 0.808 0.270
I 0.578 0.192 0.730
I 0.656 0.896 0.975
I 0.730 0.578 0.192
I 0.808 0.270 0.422
I 0.896 0.975 0.656
I 0.975 0.656 0.896

volume = 39.78 Å³ per atom
total magnetic moment = 0.00 μB/f.u.
ΔE_f (raw) = -1.18 eV per atom

=====

14.
An optimized crystal structure of Sm4Tl2I, computed with GGA-PBE.

a = 9.368 Å, b = 9.368 Å, c = 9.368 Å
α = 119.93°, β = 119.93°, γ = 90.10°
Fractional positions:
Sm 0.019 0.558 0.499
Sm 0.020 0.559 0.079
Sm 0.020 0.980 0.500
Sm 0.558 0.019 0.999
Sm 0.559 0.020 0.579
Sm 0.559 0.598 0.580
Sm 0.598 0.559 0.080
Sm 0.980 0.020 0.000
Tl 0.289 0.789 0.539
Tl 0.789 0.289 0.039
Tl 0.789 0.790 0.040
Tl 0.790 0.789 0.540
I 0.164 0.414 0.789
I 0.414 0.164 0.289

volume = 41.58 Å³ per atom
total magnetic moment = 0.00 μB/f.u.
ΔE_f (raw) = -0.17 eV per atom

=====

15.
An optimized crystal structure of SmTl2I5, computed with GGA-PBE.

a = 14.357 Å, b = 9.759 Å, c = 9.247 Å
α = 90.00°, β = 90.00°, γ = 90.00°
Fractional positions:
Sm 0.005 0.250 0.080
Sm 0.495 0.750 0.580
Sm 0.505 0.250 0.420
Sm 0.995 0.750 0.920
Tl 0.175 0.501 0.563
Tl 0.175 0.999 0.563
Tl 0.325 0.001 0.063
Tl 0.325 0.499 0.063
Tl 0.675 0.501 0.937
Tl 0.675 0.999 0.937
Tl 0.825 0.001 0.437
Tl 0.825 0.499 0.437
I 0.007 0.250 0.428
I 0.074 0.546 0.169
I 0.074 0.954 0.169
I 0.185 0.250 0.882
I 0.207 0.750 0.843
I 0.293 0.250 0.343
I 0.315 0.750 0.382
I 0.426 0.046 0.669
I 0.426 0.454 0.669
I 0.493 0.750 0.928
I 0.507 0.250 0.072
I 0.574 0.546 0.331
I 0.574 0.954 0.331
I 0.685 0.250 0.618
I 0.707 0.750 0.657
I 0.793 0.250 0.157
I 0.815 0.750 0.118
I 0.926 0.046 0.831
I 0.926 0.454 0.831
I 0.993 0.750 0.572

volume = 40.49 Å³ per atom
total magnetic moment = 0.00 μB/f.u.
ΔE_f (raw) = -1.04 eV per atom

=====

16.
An optimized crystal structure of SmTlI2, computed with GGA-PBE.

a = 11.675 Å, b = 11.675 Å, c = 11.675 Å
α = 19.72°, β = 19.72°, γ = 19.72°
Fractional positions:
Sm 0.000 0.000 0.000
Tl 0.500 0.500 0.500
I 0.396 0.396 0.396
I 0.604 0.604 0.604

volume = 39.60 Å³ per atom
total magnetic moment = 0.00 μB/f.u.
ΔE_f (raw) = -0.82 eV per atom

=====

17.
An optimized crystal structure of SmTlI4, computed with GGA-PBE.

a = 4.606 Å, b = 7.940 Å, c = 8.755 Å
α = 100.37°, β = 90.02°, γ = 106.70°
Fractional positions:
Sm 0.000 0.000 0.000
Tl 0.500 0.000 0.500
I 0.119 0.241 0.320
I 0.383 0.765 0.104
I 0.617 0.235 0.896
I 0.881 0.759 0.680

volume = 50.21 Å³ per atom
energy relative to the lowest polymorph listed for this composition = 0 meV per atom
total magnetic moment = 0.00 μB/f.u.
ΔE_f (raw) = -1.15 eV per atom

=====

18.
An optimized crystal structure of SmTm2I, computed with GGA-PBE.

a = 10.635 Å, b = 10.635 Å, c = 10.635 Å
α = 20.11°, β = 20.11°, γ = 20.11°
Fractional positions:
Sm 0.000 0.000 0.000
Tm 0.245 0.245 0.245
Tm 0.755 0.755 0.755
I 0.500 0.500 0.500

volume = 31.12 Å³ per atom
total magnetic moment = 0.00 μB/f.u.
ΔE_f (raw) = -0.32 eV per atom

=====

19.
An optimized crystal structure of Sm2TmI, computed with GGA-PBE.

a = 11.969 Å, b = 11.969 Å, c = 11.969 Å
α = 17.38°, β = 17.38°, γ = 17.38°
Fractional positions:
Sm 0.095 0.095 0.095
Sm 0.905 0.905 0.905
Tm 0.000 0.000 0.000
I 0.500 0.500 0.500

volume = 33.37 Å³ per atom
energy relative to the lowest polymorph listed for this composition = 313 meV per atom
total magnetic moment = 0.04 μB/f.u.
ΔE_f (raw) = -0.06 eV per atom

=====

20.
An optimized crystal structure of Sm2TmI, computed with GGA-PBE.

a = 10.760 Å, b = 10.760 Å, c = 10.760 Å
α = 20.31°, β = 20.31°, γ = 20.31°
Fractional positions:
Sm 0.000 0.000 0.000
Sm 0.174 0.174 0.174
Tm 0.754 0.754 0.754
I 0.587 0.587 0.587

volume = 32.83 Å³ per atom
energy relative to the lowest polymorph listed for this composition = 0 meV per atom
total magnetic moment = 0.00 μB/f.u.
ΔE_f (raw) = -0.38 eV per atom

=====

21.
An optimized crystal structure of SmTmI2, computed with GGA-PBE.

a = 10.910 Å, b = 10.910 Å, c = 10.910 Å
α = 20.42°, β = 20.42°, γ = 20.42°
Fractional positions:
Sm 0.000 0.000 0.000
Tm 0.500 0.500 0.500
I 0.404 0.404 0.404
I 0.596 0.596 0.596

volume = 34.60 Å³ per atom
total magnetic moment = 0.00 μB/f.u.
ΔE_f (raw) = -0.66 eV per atom